1.
Computed, not measured: a relaxed structure of MgIn12Pb3 at the PBE level of DFT.

Values from the calculation:
- calculated formation energy (eV/atom) = 0.02

Lattice parameters (Å, degrees): 4.7184 4.7184 19.7363 90.00 90.00 90.00
Last column: nearest neighbours and their distance in Å.
Space group P4/mmm (No. 123)
Unique sites:
1 Mg 0.0000 0.0000 0.0000 x1  12 In 3.29-3.34
2 In 0.0000 0.5000 0.1164 x4  8 In 3.29-3.43, 2 Mg 3.29, 2 Pb 3.44
3 In 0.0000 0.5000 0.3720 x4  8 In 3.34-3.48, 4 Pb 3.46-3.47
4 In 0.5000 0.5000 0.0000 x1  8 In 3.29, 4 Mg 3.34
5 In 0.5000 0.5000 0.2425 x2  4 Pb 3.34, 8 In 3.43-3.48
6 In 0.5000 0.5000 0.5000 x1  4 Pb 3.34, 8 In 3.46
7 Pb 0.0000 0.0000 0.2430 x2  12 In 3.34-3.47
8 Pb 0.0000 0.0000 0.5000 x1  12 In 3.34-3.46

2.
Computed, not measured: a relaxed structure of CeDyGeS at the PBE level of DFT.

Values from the calculation:
- formation energy (no corrections) (eV per atom) = -1.41

Lattice parameters (Å, degrees): 4.1025 4.1025 19.9490 90.00 90.00 120.00
Last column: nearest neighbours and their distance in Å.
Space group R3m (No. 160, hexagonal axes)
Unique sites:
1 Ce 0.0000 0.0000 0.0000 x3  3 Ge 2.91, 3 S 2.91
2 Dy 0.0000 0.0000 0.4977 x3  3 S 2.85, 3 Ge 2.90
3 Ge 0.0000 0.0000 0.2485 x3  3 Dy 2.90, 3 Ce 2.91
4 S 0.0000 0.0000 0.7517 x3  3 Dy 2.85, 3 Ce 2.91

3.
Computed, not measured: a relaxed structure of PuRhO at the PBE level of DFT.

Values from the calculation:
- formation energy (no corrections) (eV per atom) = -1.67

Lattice parameters (Å, degrees): 3.8628 3.8696 6.8759 90.00 90.21 90.00
Last column: nearest neighbours and their distance in Å.
Space group P2_1/m (No. 11)
Unique sites:
1 Pu 0.2492 0.2500 0.3202 x2  4 O 2.29-2.30
2 Rh 0.2509 0.7500 0.9996 x2  4 Rh 2.73-2.74, 4 Pu 2.92-2.93
3 O 0.2500 0.7500 0.4996 x2  4 Pu 2.29-2.30

4.
Computed, not measured: a relaxed structure of TaMn2Fe at the PBE level of DFT.

Values from the calculation:
- calculated formation energy (eV/atom) = -0.04

Lattice parameters (Å, degrees): 3.0532 4.1181 4.1210 90.00 90.00 90.00
Last column: nearest neighbours and their distance in Å.
Space group Pmmm (No. 47)
Unique sites:
1 Ta 0.0000 0.0000 0.0000 x1  4 Fe 2.56, 4 Mn 2.56
2 Mn 0.0000 0.5000 0.5000 x1  4 Mn 2.56, 4 Fe 2.56
3 Mn 0.5000 0.0000 0.5000 x1  4 Mn 2.56, 4 Ta 2.56
4 Fe 0.5000 0.5000 0.0000 x1  4 Ta 2.56, 4 Mn 2.56

Number 1: DOS at the Fermi energy 8.14 states/eV/f.u.. Number 2: DOS at the Fermi energy 4.70 states/eV/f.u.. Number 3: DOS at the Fermi energy 6.30 states/eV/f.u.. Number 4: DOS at the Fermi energy 4.00 states/eV/f.u..